The following is a DFT calculation (PBE) of crystalline CsZnGeH2 at its relaxed geometry.

Unit cell a=3.678 b=3.824 c=13.743 alpha=90.00 beta=90.00 gamma=90.00
Space group Imm2 (No. 44)
Symmetry-distinct sites (fractional):
Cs 0.000 0.000 0.000 (multiplicity 2)
Zn 0.000 0.000 0.721 (multiplicity 2)
Ge 0.000 0.000 0.270 (multiplicity 2)
H 0.000 0.000 0.388 (multiplicity 2)
H 0.000 0.000 0.599 (multiplicity 2)

**M_tot**: 0.00 μB per formula unit
**Crystal system**: orthorhombic
**Excess energy over the best structure of this formula in the dataset**: 0.00 eV/f.u.



The following is a DFT calculation (PBE) of crystalline CsZnGeH2 at its relaxed geometry.

Unit cell a=6.025 b=4.628 c=7.618 alpha=90.00 beta=90.00 gamma=90.00
Space group Amm2 (No. 38)
Symmetry-distinct sites (fractional):
Cs 0.000 0.000 0.000 (multiplicity 2)
Zn 0.500 0.000 0.703 (multiplicity 2)
Ge 0.500 0.000 0.323 (multiplicity 2)
H 0.317 0.000 0.503 (multiplicity 4)

**M_tot**: 0.00 μB per formula unit
**Crystal system**: orthorhombic
**Excess energy over the best structure of this formula in the dataset**: 0.37 eV/f.u.



The following is a DFT calculation (PBE) of crystalline CsZnGeH2 at its relaxed geometry.

Unit cell a=7.967 b=4.341 c=6.122 alpha=90.00 beta=90.84 gamma=90.00
Space group Cm (No. 8)
Symmetry-distinct sites (fractional):
Cs 0.000 0.000 0.000 (multiplicity 2)
Zn 0.142 0.500 0.514 (multiplicity 2)
Ge 0.325 0.000 0.530 (multiplicity 2)
H 0.254 0.247 0.317 (multiplicity 4)

**M_tot**: 0.00 μB per formula unit
**Crystal system**: monoclinic
**Excess energy over the best structure of this formula in the dataset**: 0.63 eV/f.u.



The following is a DFT calculation (PBE) of crystalline CsZnGeH2 at its relaxed geometry.

Unit cell a=5.568 b=3.671 c=6.472 alpha=90.00 beta=113.74 gamma=90.00
Space group Pm (No. 6)
Symmetry-distinct sites (fractional):
Cs 0.000 0.000 0.000 (multiplicity 1)
Zn 0.694 0.500 0.372 (multiplicity 1)
Ge 0.283 0.500 0.636 (multiplicity 1)
H 0.251 0.500 0.376 (multiplicity 1)
H 0.603 0.500 0.702 (multiplicity 1)

**M_tot**: 0.00 μB per formula unit
**Crystal system**: monoclinic
**Excess energy over the best structure of this formula in the dataset**: 1.05 eV/f.u.



The following is a DFT calculation (PBE) of crystalline CsZnGeH2 at its relaxed geometry.

Unit cell a=3.661 b=4.744 c=7.102 alpha=70.63 beta=89.89 gamma=67.36
Space group P1 (No. 1)
Symmetry-distinct sites (fractional):
Cs 0.000 0.000 0.000 (multiplicity 1)
Zn 0.835 0.323 0.448 (multiplicity 1)
Ge 0.582 0.833 0.560 (multiplicity 1)
H 0.502 0.996 0.318 (multiplicity 1)
H 0.760 0.478 0.195 (multiplicity 1)

**M_tot**: 0.00 μB per formula unit
**Crystal system**: triclinic
**Excess energy over the best structure of this formula in the dataset**: 0.49 eV/f.u.



The following is a DFT calculation (PBE) of crystalline CsZnGeH2 at its relaxed geometry.

Unit cell a=4.547 b=4.934 c=5.427 alpha=89.49 beta=65.54 gamma=89.92
Space group P1 (No. 1)
Symmetry-distinct sites (fractional):
Cs 0.000 0.000 0.000 (multiplicity 1)
Zn 0.695 0.510 0.613 (multiplicity 1)
Ge 0.306 0.510 0.387 (multiplicity 1)
H 0.317 0.184 0.368 (multiplicity 1)
H 0.507 0.520 0.990 (multiplicity 1)

**M_tot**: 0.00 μB per formula unit
**Crystal system**: triclinic
**Excess energy over the best structure of this formula in the dataset**: 0.38 eV/f.u.



The following is a DFT calculation (PBE) of crystalline Cs2HfGe at its relaxed geometry.

Unit cell a=8.479 b=8.479 c=8.479 alpha=90.00 beta=90.00 gamma=90.00
Space group Fm-3m (No. 225)
Symmetry-distinct sites (fractional):
Cs 0.250 0.250 0.250 (multiplicity 8)
Hf 0.000 0.000 0.000 (multiplicity 4)
Ge 0.000 0.000 0.500 (multiplicity 4)

**M_tot**: 0.01 μB per formula unit
**Energy of formation from the pure elements**: 126 kJ/mol of atoms
**Crystal system**: cubic
**Excess energy over the best structure of this formula in the dataset**: 2.84 eV/f.u.



The following is a DFT calculation (PBE) of crystalline Cs3HfGe at its relaxed geometry.

Unit cell a=7.153 b=7.153 c=7.153 alpha=90.00 beta=90.00 gamma=90.00
Space group Pm-3m (No. 221)
Symmetry-distinct sites (fractional):
Cs 0.000 0.000 0.500 (multiplicity 3)
Hf 0.500 0.500 0.500 (multiplicity 1)
Ge 0.000 0.000 0.000 (multiplicity 1)

**M_tot**: 1.00 μB per formula unit
**Energy of formation from the pure elements**: 118 kJ/mol of atoms
**Crystal system**: cubic
**Excess energy over the best structure of this formula in the dataset**: 0.00 eV/f.u.



The following is a DFT calculation (PBE) of crystalline Cs2HfGe at its relaxed geometry.

Unit cell a=14.419 b=14.419 c=5.195 alpha=90.00 beta=90.00 gamma=90.00
Space group I-42d (No. 122)
Symmetry-distinct sites (fractional):
Cs 0.068 0.750 0.125 (multiplicity 8)
Hf 0.000 0.000 0.500 (multiplicity 4)
Ge 0.000 0.000 0.000 (multiplicity 4)

**M_tot**: 0.18 μB per formula unit
**Energy of formation from the pure elements**: 58 kJ/mol of atoms
**Crystal system**: tetragonal
**Excess energy over the best structure of this formula in the dataset**: 0.00 eV/f.u.



The following is a DFT calculation (PBE) of crystalline CsHfGeI2 at its relaxed geometry.

Unit cell a=6.890 b=6.890 c=6.809 alpha=90.00 beta=90.00 gamma=90.00
Space group P4/mmm (No. 123)
Symmetry-distinct sites (fractional):
Cs 0.000 0.000 0.000 (multiplicity 1)
Hf 0.000 0.000 0.500 (multiplicity 1)
Ge 0.500 0.500 0.500 (multiplicity 1)
I 0.000 0.500 0.000 (multiplicity 2)

**M_tot**: 3.00 μB per formula unit
**Crystal system**: tetragonal
**ΔE_f (raw)**: 668 kJ/mol of formula units



The following is a DFT calculation (PBE) of crystalline CsHfGeIr2 at its relaxed geometry.

Unit cell a=4.922 b=4.922 c=6.006 alpha=90.00 beta=90.00 gamma=90.00
Space group P4/mmm (No. 123)
Symmetry-distinct sites (fractional):
Cs 0.000 0.000 0.000 (multiplicity 1)
Hf 0.000 0.000 0.500 (multiplicity 1)
Ge 0.500 0.500 0.000 (multiplicity 1)
Ir 0.000 0.500 0.500 (multiplicity 2)

**M_tot**: 0.00 μB per formula unit
**Energy of formation from the pure elements**: 138 kJ/mol of atoms
**Crystal system**: tetragonal



The following is a DFT calculation (PBE) of crystalline CsHf2GeRh at its relaxed geometry.

Unit cell a=5.193 b=5.193 c=4.771 alpha=90.00 beta=90.00 gamma=90.00
Space group P4/mmm (No. 123)
Symmetry-distinct sites (fractional):
Cs 0.000 0.000 0.000 (multiplicity 1)
Hf 0.000 0.500 0.500 (multiplicity 2)
Ge 0.500 0.500 0.500 (multiplicity 1)
Rh 0.500 0.500 0.000 (multiplicity 1)

**M_tot**: 0.00 μB per formula unit
**Energy of formation from the pure elements**: 79 kJ/mol of atoms
**Crystal system**: tetragonal



Q: The highest M_tot belongs to which entry?
A: CsHfGeI2